# 1
The following is a PBE calculation of a relaxed structure of PaI6Cl2, from the Alexandria database.

The structure belongs to space group P2_1/c (No. 14); the cell edges are 7.637, 10.723 and 13.944 Å and the angles 90.00°, 118.27° and 90.00°. The distinct sites, in fractional coordinates, are Pa at (0.000, 0.000, 0.000), I at (0.001, 0.016, 0.774), I at (0.303, 0.691, 0.571), I at (0.311, 0.187, 0.087) and Cl at (0.004, 0.232, 0.260).

For the density of states at the Fermi level, the calculation gives 0.839 states/eV/atom. Its crystal system is monoclinic.

# 2
The following is a PBE calculation of a relaxed structure of Zn2NiPb, from the Alexandria database.

The structure belongs to space group P4/mmm (No. 123); the cell edges are 4.043, 4.043 and 4.200 Å and the angles 90.00°, 90.00° and 90.00°. The distinct sites, in fractional coordinates, are Zn at (0.000, 0.500, 0.000), Ni at (0.000, 0.000, 0.500) and Pb at (0.500, 0.500, 0.500).

For the density of states at the Fermi level, the calculation gives 0.517 states/eV/atom. Its crystal system is tetragonal. The calculation puts the formation energy at 0.9 eV/f.u.

# 3
The following is a PBE calculation of a relaxed structure of Zr6CdN, from the Alexandria database.

The structure belongs to space group R-3 (No. 148, hexagonal axes); the cell edges are 8.5612, 8.5612 and 7.8171 Å and the angles 90.00°, 90.00° and 120.00°. The distinct sites, in fractional coordinates, are Zr at (0.0622, 0.2415, 0.1632), Cd at (0.0000, 0.0000, 0.5000) and N at (0.0000, 0.0000, 0.0000).

For the density of states at the Fermi level, the calculation gives 1.083 states/eV/atom. Its crystal system is trigonal.

# 4
The following is a PBE calculation of a relaxed structure of Tl4HgSb, from the Alexandria database.

The structure belongs to space group C2/c (No. 15); the cell edges are 10.808, 11.751 and 6.375 Å and the angles 90.00°, 111.46° and 90.00°. The distinct sites, in fractional coordinates, are Tl at (0.160, 0.120, 0.421), Tl at (0.164, 0.380, 0.925), Hg at (0.000, 0.371, 0.250) and Sb at (0.000, 0.138, 0.750).

For the density of states at the Fermi level, the calculation gives 0.506 states/eV/atom. The energy above the lowest structure with this stoichiometry comes out at 0.029 eV per atom. Its crystal system is monoclinic.

# 5
The following is a PBE calculation of a relaxed structure of CsSbPHPt, from the Alexandria database.

The structure belongs to space group P1 (No. 1); the cell edges are 4.516, 5.076 and 6.428 Å and the angles 106.14°, 91.63° and 99.32°. The distinct sites, in fractional coordinates, are Cs at (0.000, 0.000, 0.000), Sb at (0.481, 0.707, 0.448), P at (0.146, 0.372, 0.599), H at (0.368, 0.601, 0.166) and Pt at (0.630, 0.249, 0.517).

The energy above the lowest structure with this stoichiometry comes out at 0.151 eV per atom. Its crystal system is triclinic.

# 6
The following is a PBE calculation of a relaxed structure of SrZnP2Ir, from the Alexandria database.

The structure belongs to space group P4/mmm (No. 123); the cell edges are 4.556, 4.556 and 5.320 Å and the angles 90.00°, 90.00° and 90.00°. The distinct sites, in fractional coordinates, are Sr at (0.000, 0.000, 0.000), Zn at (0.000, 0.000, 0.500), P at (0.000, 0.500, 0.500) and Ir at (0.500, 0.500, 0.000).

For the density of states at the Fermi level, the calculation gives 0.805 states/eV/atom. Its crystal system is tetragonal. The calculation puts the formation energy at 4.7 eV/f.u.

# 7
The following is a PBE calculation of a relaxed structure of MnTc2Os, from the Alexandria database.

The structure belongs to space group I4/mmm (No. 139); the cell edges are 3.811, 3.811 and 7.633 Å and the angles 90.00°, 90.00° and 90.00°. The distinct sites, in fractional coordinates, are Mn at (0.000, 0.000, 0.000), Tc at (0.000, 0.500, 0.250) and Os at (0.000, 0.000, 0.500).

For the density of states at the Fermi level, the calculation gives 0.966 states/eV/atom. The energy above the lowest structure with this stoichiometry comes out at 0.000 eV per atom. Its crystal system is tetragonal. The calculation puts the formation energy at 0.2 eV/f.u.

# 8
The following is a PBE calculation of a relaxed structure of CaLa5PmPr2, from the Alexandria database.

The structure belongs to space group Cmc2_1 (No. 36); the cell edges are 5.967, 17.641 and 12.613 Å and the angles 90.00°, 90.00° and 90.00°. The distinct sites, in fractional coordinates, are Ca at (0.000, 0.111, 0.000), La at (0.000, 0.066, 0.353), La at (0.000, 0.068, 0.647), La at (0.000, 0.240, 0.794), La at (0.000, 0.242, 0.205), La at (0.000, 0.424, 0.659), Pm at (0.000, 0.246, 0.500), Pr at (0.000, 0.389, 0.999) and Pr at (0.000, 0.424, 0.343).

For the density of states at the Fermi level, the calculation gives 1.456 states/eV/atom. Its crystal system is orthorhombic. The calculation puts the formation energy at 0.7 eV/f.u.

# 9
The following is a PBE calculation of a relaxed structure of La2TcHgB, from the Alexandria database.

The structure belongs to space group P4/mmm (No. 123); the cell edges are 5.250, 5.250 and 5.260 Å and the angles 90.00°, 90.00° and 90.00°. The distinct sites, in fractional coordinates, are La at (0.000, 0.500, 0.000), Tc at (0.000, 0.000, 0.000), Hg at (0.000, 0.000, 0.500) and B at (0.500, 0.500, 0.500).

For the density of states at the Fermi level, the calculation gives 1.032 states/eV/atom. Its crystal system is tetragonal. The calculation puts the formation energy at 3.9 eV/f.u.

# 10
The following is a PBE calculation of a relaxed structure of Mn2InPt, from the Alexandria database.

The structure belongs to space group R-3m (No. 166, hexagonal axes); the cell edges are 2.9423, 2.9423 and 26.6019 Å and the angles 90.00°, 90.00° and 120.00°. The distinct sites, in fractional coordinates, are Mn at (0.0000, 0.0000, 0.2458), In at (0.0000, 0.0000, 0.0000) and Pt at (0.0000, 0.0000, 0.5000).

For the density of states at the Fermi level, the calculation gives 0.837 states/eV/atom. Its crystal system is trigonal. The calculation puts the formation energy at 0.6 eV/f.u.

# 11
The following is a PBE calculation of a relaxed structure of TmZrAl, from the Alexandria database.

The structure belongs to space group P4/nmm (No. 129, origin choice 2); the cell edges are 3.261, 3.261 and 12.919 Å and the angles 90.00°, 90.00° and 90.00°. The distinct sites, in fractional coordinates, are Tm at (0.250, 0.250, 0.105), Zr at (0.250, 0.250, 0.414) and Al at (0.250, 0.250, 0.735).

For the density of states at the Fermi level, the calculation gives 0.772 states/eV/atom. The energy above the lowest structure with this stoichiometry comes out at 0.002 eV per atom. Its crystal system is tetragonal. The calculation puts the formation energy at -0.8 eV/f.u.

Total DFT energy (no corrections) list, top to bottom, in eV per atom: -3.094 -2.780 -7.996 -2.291 -4.210 -3.596 -10.225 -4.474 -4.653 -6.637 -5.843
Size of the total moment list, top to bottom, in μB/f.u.: 0.000 0.000 0.000 0.000 0.000 0.000 1.228 0.000 0.602 7.232 0.000